1.
VASP calculation (meta-GGA SCAN) on a crystal of SrFe relaxed with PBEsol.

a = 3.6254 Å, b = 4.9193 Å, c = 11.0474 Å
α = 90.00°, β = 90.00°, γ = 90.00°
Space group Imma (No. 74)
Asymmetric unit:
Sr1 0.0000 0.2500 0.1086 (multiplicity 4)
Fe1 0.0000 0.2500 0.6916 (multiplicity 4)

Calculated values
Raw total energy: -39.24 eV per formula unit
DFT formation energy: 581 meV/atom



2.
VASP calculation (meta-GGA SCAN) on a crystal of Sr3Fe relaxed with PBEsol.

a = 11.6466 Å, b = 11.6466 Å, c = 3.7885 Å
α = 90.00°, β = 90.00°, γ = 120.00°
Space group R-3m (No. 166, hexagonal axes)
Asymmetric unit:
Sr1 0.0000 0.5000 0.0000 (multiplicity 9)
Fe1 0.0000 0.0000 0.0000 (multiplicity 3)

Calculated values
Raw total energy: -82.20 eV per formula unit
DFT formation energy: 689 meV/atom



3.
VASP calculation (meta-GGA SCAN) on a crystal of Sr2TaFe relaxed with PBEsol.

a = 3.2622 Å, b = 3.7117 Å, c = 18.1942 Å
α = 90.00°, β = 90.00°, γ = 90.00°
Space group Immm (No. 71)
Asymmetric unit:
Sr1 0.0000 0.0000 0.1506 (multiplicity 4)
Ta1 0.0000 0.5000 0.0000 (multiplicity 2)
Fe1 0.0000 0.5000 0.5000 (multiplicity 2)

Calculated values
ΔE to the lowest computed polymorph: 0.00 eV/f.u.
Raw total energy: -126.65 eV per formula unit
DFT formation energy: 654 meV/atom



4.
VASP calculation (meta-GGA SCAN) on a crystal of SrTa4Fe relaxed with PBEsol.

a = 7.8396 Å, b = 7.8396 Å, c = 7.8396 Å
α = 90.00°, β = 90.00°, γ = 90.00°
Space group F-43m (No. 216)
Asymmetric unit:
Sr1 0.0000 0.0000 0.0000 (multiplicity 4)
Ta1 0.1257 0.1257 0.3743 (multiplicity 16)
Fe1 0.2500 0.2500 0.7500 (multiplicity 4)

Calculated values
Raw total energy: -301.53 eV per formula unit
DFT formation energy: 868 meV/atom



5.
VASP calculation (meta-GGA SCAN) on a crystal of SrTa2Fe relaxed with PBEsol.

a = 4.7821 Å, b = 4.7821 Å, c = 3.0460 Å
α = 90.00°, β = 90.00°, γ = 90.00°
Space group P4/mmm (No. 123)
Asymmetric unit:
Sr1 0.0000 0.0000 0.0000 (multiplicity 1)
Ta1 0.0000 0.5000 0.5000 (multiplicity 2)
Fe1 0.5000 0.5000 0.0000 (multiplicity 1)

Calculated values
Raw total energy: -167.83 eV per formula unit
DFT formation energy: 1435 meV/atom



6.
VASP calculation (meta-GGA SCAN) on a crystal of Sr2TaFe relaxed with PBEsol.

a = 5.6937 Å, b = 5.6937 Å, c = 3.1278 Å
α = 90.00°, β = 90.00°, γ = 90.00°
Space group P4/mmm (No. 123)
Asymmetric unit:
Sr1 0.0000 0.5000 0.0000 (multiplicity 2)
Ta1 0.0000 0.0000 0.5000 (multiplicity 1)
Fe1 0.5000 0.5000 0.5000 (multiplicity 1)

Calculated values
ΔE to the lowest computed polymorph: 2.46 eV/f.u.
Raw total energy: -124.19 eV per formula unit
DFT formation energy: 1269 meV/atom